[1]
Material: NaTlHg2
Method: DFT, GGA-PBE
State: optimized geometry

Cell lengths 7.4995, 7.4995, 7.4995 Å; angles 90.00, 90.00, 90.00 degrees
Closest atoms and distances in Å follow each position.
Space group F-43m (No. 216)
Symmetry-distinct sites (fractional):
Na: 0.0000 0.0000 0.0000  4 Hg 3.25, 4 Tl 3.25
Tl: 0.2500 0.2500 0.7500  4 Na 3.25, 4 Hg 3.25
Hg: 0.0000 0.0000 0.5000  4 Tl 3.25, 4 Hg 3.25
Hg: 0.2500 0.2500 0.2500  4 Hg 3.25, 4 Na 3.25

## Properties
Total energy (eV per atom): -1.20


[2]
Material: Na2TlHg
Method: DFT, GGA-PBE
State: optimized geometry

Cell lengths 5.2451, 5.2358, 7.4223 Å; angles 90.00, 90.00, 90.00 degrees
Closest atoms and distances in Å follow each position.
Space group Pmma (No. 51)
Symmetry-distinct sites (fractional):
Na: 0.2500 0.0000 0.1178  4 Na 3.15-3.20, 2 Hg 3.16, 2 Tl 3.24
Na: 0.2500 0.5000 0.3666  2 Hg 3.19, 4 Na 3.20-3.29, 2 Tl 3.25
Tl: 0.2500 0.0000 0.6266  2 Hg 3.22, 2 Tl 3.23, 4 Na 3.24-3.25
Hg: 0.2500 0.5000 0.8788  4 Na 3.16-3.19, 2 Hg 3.18, 2 Tl 3.22

## Properties
Total energy (eV per atom): -1.50


[3]
Material: Na4Tl3Hg
Method: DFT, GGA-PBE
State: optimized geometry

Cell lengths 5.2892, 5.2892, 7.4844 Å; angles 90.00, 90.00, 90.00 degrees
Closest atoms and distances in Å follow each position.
Space group P-4m2 (No. 115)
Symmetry-distinct sites (fractional):
Na: 0.0000 0.0000 0.0000  4 Na 3.25, 4 Tl 3.26
Na: 0.0000 0.5000 0.7478  4 Na 3.23-3.25, 2 Hg 3.23, 2 Tl 3.25
Na: 0.5000 0.5000 0.5000  4 Tl 3.22, 4 Na 3.23
Tl: 0.0000 0.5000 0.2551  2 Hg 3.22, 4 Na 3.22-3.26, 2 Tl 3.26
Tl: 0.5000 0.5000 0.0000  4 Na 3.25, 4 Tl 3.26
Hg: 0.0000 0.0000 0.5000  4 Tl 3.22, 4 Na 3.23

## Properties
Total energy (eV per atom): -1.73


[4]
Material: Na2TlHg
Method: DFT, GGA-PBE
State: optimized geometry

Cell lengths 7.3853, 7.3853, 7.3853 Å; angles 90.00, 90.00, 90.00 degrees
Closest atoms and distances in Å follow each position.
Space group F-43m (No. 216)
Symmetry-distinct sites (fractional):
Na: 0.0000 0.0000 0.0000  4 Hg 3.20, 4 Na 3.20
Na: 0.2500 0.2500 0.2500  4 Tl 3.20, 4 Na 3.20
Tl: 0.0000 0.0000 0.5000  4 Na 3.20, 4 Hg 3.20
Hg: 0.2500 0.2500 0.7500  4 Tl 3.20, 4 Na 3.20

## Properties
Total energy (eV per atom): -1.50


[5]
Material: Na3Tl2Hg
Method: DFT, GGA-PBE
State: optimized geometry

Cell lengths 16.9144, 7.0454, 5.5563 Å; angles 90.00, 106.11, 90.00 degrees
Closest atoms and distances in Å follow each position.
Space group C2/c (No. 15)
Symmetry-distinct sites (fractional):
Na: 0.0000 0.1381 0.2500  4 Na 3.24-3.39, 3 Hg 3.26-3.40, 4 Tl 3.28-3.49
Na: 0.1655 0.3802 0.5013  6 Tl 3.22-3.57, 2 Hg 3.24-3.45, 4 Na 3.24-3.40
Tl: 0.1636 0.1257 0.9807  8 Na 3.22-3.57, 1 Hg 3.24, 3 Tl 3.29-3.36
Hg: 0.0000 0.3790 0.7500  7 Na 3.24-3.45, 2 Tl 3.24, 2 Hg 3.26

## Properties
Total energy (eV per atom): -1.66


[6]
Material: NaUHg
Method: DFT, GGA-PBE
State: optimized geometry

Cell lengths 7.1443, 7.1443, 7.1443 Å; angles 90.00, 90.00, 90.00 degrees
Closest atoms and distances in Å follow each position.
Space group F-43m (No. 216)
Symmetry-distinct sites (fractional):
Na: 0.0000 0.0000 0.0000  4 Hg 3.09
U: 0.0000 0.0000 0.5000  4 Hg 3.09
Hg: 0.2500 0.2500 0.2500  4 Na 3.09, 4 U 3.09

## Properties
ΔE to the lowest computed polymorph (meV/atom): 0.0


[7]
Material: NaUHg
Method: DFT, GGA-PBE
State: optimized geometry

Cell lengths 7.2570, 7.2570, 7.2570 Å; angles 90.00, 90.00, 90.00 degrees
Closest atoms and distances in Å follow each position.
Space group F-43m (No. 216)
Symmetry-distinct sites (fractional):
Na: 0.0000 0.0000 0.0000  4 U 3.14
U: 0.2500 0.2500 0.7500  4 Hg 3.14, 4 Na 3.14
Hg: 0.0000 0.0000 0.5000  4 U 3.14

## Properties
ΔE to the lowest computed polymorph (meV/atom): 312.2


[8]
Material: NbHg2
Method: DFT, GGA-PBE
State: optimized geometry

Cell lengths 7.8658, 7.8658, 7.8658 Å; angles 90.00, 90.00, 90.00 degrees
Closest atoms and distances in Å follow each position.
Space group Fd-3m (No. 227, origin choice 2)
Symmetry-distinct sites (fractional):
Nb: 0.1250 0.1250 0.1250  12 Hg 3.26, 4 Nb 3.41
Hg: 0.0000 0.0000 0.5000  6 Hg 2.78

## Properties
Energy of formation from the pure elements (kcal/mol of atoms): 13.6


[9]
Material: NbHg2
Method: DFT, GGA-PBE
State: optimized geometry

Cell lengths 12.9137, 12.9137, 12.9137 Å; angles 90.00, 90.00, 90.00 degrees
Closest atoms and distances in Å follow each position.
Space group Fd-3m (No. 227, origin choice 2)
Symmetry-distinct sites (fractional):
Nb: 0.1250 0.1250 0.1250  4 Hg 2.80
Hg: 0.0000 0.0000 0.0000  2 Nb 2.80

## Properties
Energy of formation from the pure elements (kcal/mol of atoms): 34.7


[10]
Material: NdNbHg
Method: DFT, GGA-PBE
State: optimized geometry

Cell lengths 7.0789, 7.0789, 7.0789 Å; angles 90.00, 90.00, 90.00 degrees
Closest atoms and distances in Å follow each position.
Space group F-43m (No. 216)
Symmetry-distinct sites (fractional):
Nd: 0.0000 0.0000 0.0000  4 Nb 3.07, 4 Hg 3.07
Nb: 0.2500 0.2500 0.2500  4 Nd 3.07
Hg: 0.2500 0.2500 0.7500  4 Nd 3.07

## Properties
Energy of formation from the pure elements (kcal/mol of atoms): 23.4
ΔE to the lowest computed polymorph (meV/atom): 396.5


[11]
Material: NdNbHg
Method: DFT, GGA-PBE
State: optimized geometry

Cell lengths 6.9943, 6.9943, 6.9943 Å; angles 90.00, 90.00, 90.00 degrees
Closest atoms and distances in Å follow each position.
Space group F-43m (No. 216)
Symmetry-distinct sites (fractional):
Nd: 0.0000 0.0000 0.0000  4 Hg 3.03
Nb: 0.0000 0.0000 0.5000  4 Hg 3.03
Hg: 0.2500 0.2500 0.7500  4 Nb 3.03, 4 Nd 3.03

## Properties
Energy of formation from the pure elements (kcal/mol of atoms): 14.3
ΔE to the lowest computed polymorph (meV/atom): 0.0


[12]
Material: NbNiHg
Method: DFT, GGA-PBE
State: optimized geometry

Cell lengths 6.2025, 6.2025, 6.2025 Å; angles 90.00, 90.00, 90.00 degrees
Closest atoms and distances in Å follow each position.
Space group F-43m (No. 216)
Symmetry-distinct sites (fractional):
Nb: 0.0000 0.0000 0.0000  4 Hg 2.69, 4 Ni 2.69
Ni: 0.2500 0.2500 0.7500  4 Nb 2.69
Hg: 0.2500 0.2500 0.2500  4 Nb 2.69

## Properties
Energy of formation from the pure elements (kcal/mol of atoms): 17.3
ΔE to the lowest computed polymorph (meV/atom): 482.8


[13]
Material: NbNiHg
Method: DFT, GGA-PBE
State: optimized geometry

Cell lengths 5.9958, 5.9958, 5.9958 Å; angles 90.00, 90.00, 90.00 degrees
Closest atoms and distances in Å follow each position.
Space group F-43m (No. 216)
Symmetry-distinct sites (fractional):
Nb: 0.0000 0.0000 0.0000  4 Ni 2.60
Ni: 0.2500 0.2500 0.7500  4 Hg 2.60, 4 Nb 2.60
Hg: 0.0000 0.0000 0.5000  4 Ni 2.60

## Properties
Energy of formation from the pure elements (kcal/mol of atoms): 6.1
ΔE to the lowest computed polymorph (meV/atom): 0.0


[14]
Material: Nb2NiHg
Method: DFT, GGA-PBE
State: optimized geometry

Cell lengths 6.4979, 6.4979, 6.4979 Å; angles 90.00, 90.00, 90.00 degrees
Closest atoms and distances in Å follow each position.
Space group F-43m (No. 216)
Symmetry-distinct sites (fractional):
Nb: 0.0000 0.0000 0.0000  4 Ni 2.81, 4 Nb 2.81
Nb: 0.2500 0.2500 0.2500  4 Hg 2.81, 4 Nb 2.81
Ni: 0.2500 0.2500 0.7500  4 Hg 2.81, 4 Nb 2.81
Hg: 0.0000 0.0000 0.5000  4 Nb 2.81, 4 Ni 2.81

## Properties
Energy of formation from the pure elements (kcal/mol of atoms): 9.3


[15]
Material: NbNi2Hg
Method: DFT, GGA-PBE
State: optimized geometry

Cell lengths 6.2355, 6.2355, 6.2355 Å; angles 90.00, 90.00, 90.00 degrees
Closest atoms and distances in Å follow each position.
Space group F-43m (No. 216)
Symmetry-distinct sites (fractional):
Nb: 0.0000 0.0000 0.0000  4 Hg 2.70, 4 Ni 2.70
Ni: 0.0000 0.0000 0.5000  4 Ni 2.70, 4 Hg 2.70
Ni: 0.2500 0.2500 0.7500  4 Nb 2.70, 4 Ni 2.70
Hg: 0.2500 0.2500 0.2500  4 Nb 2.70, 4 Ni 2.70

## Properties
Energy of formation from the pure elements (kcal/mol of atoms): 5.5


[16]
Material: NbNi2Hg
Method: DFT, GGA-PBE
State: optimized geometry

Cell lengths 6.2355, 6.2355, 6.2355 Å; angles 90.00, 90.00, 90.00 degrees
Closest atoms and distances in Å follow each position.
Space group F-43m (No. 216)
Symmetry-distinct sites (fractional):
Nb: 0.0000 0.0000 0.0000  4 Ni 2.70, 4 Hg 2.70
Ni: 0.0000 0.0000 0.5000  4 Hg 2.70, 4 Ni 2.70
Ni: 0.2500 0.2500 0.7500  4 Ni 2.70, 4 Nb 2.70
Hg: 0.2500 0.2500 0.2500  4 Nb 2.70, 4 Ni 2.70

## Properties
Energy of formation from the pure elements (kcal/mol of atoms): 5.5


[17]
Material: NbNiHgPb
Method: DFT, GGA-PBE
State: optimized geometry

Cell lengths 6.7404, 6.7404, 6.7404 Å; angles 90.00, 90.00, 90.00 degrees
Closest atoms and distances in Å follow each position.
Space group F-43m (No. 216)
Symmetry-distinct sites (fractional):
Nb: 0.0000 0.0000 0.0000  4 Hg 2.92, 4 Pb 2.92
Ni: 0.0000 0.0000 0.5000  4 Pb 2.92, 4 Hg 2.92
Hg: 0.2500 0.2500 0.7500  4 Nb 2.92, 4 Ni 2.92
Pb: 0.2500 0.2500 0.2500  4 Nb 2.92, 4 Ni 2.92

## Properties
ΔE to the lowest computed polymorph (meV/atom): 0.0


[18]
Material: NbNiHgPb
Method: DFT, GGA-PBE
State: optimized geometry

Cell lengths 6.8018, 6.8018, 6.8018 Å; angles 90.00, 90.00, 90.00 degrees
Closest atoms and distances in Å follow each position.
Space group F-43m (No. 216)
Symmetry-distinct sites (fractional):
Nb: 0.0000 0.0000 0.0000  4 Hg 2.95, 4 Ni 2.95
Ni: 0.2500 0.2500 0.7500  4 Nb 2.95, 4 Pb 2.95
Hg: 0.2500 0.2500 0.2500  4 Nb 2.95, 4 Pb 2.95
Pb: 0.0000 0.0000 0.5000  4 Hg 2.95, 4 Ni 2.95

## Properties
ΔE to the lowest computed polymorph (meV/atom): 109.0


[19]
Material: NbZnNiHg
Method: DFT, GGA-PBE
State: optimized geometry

Cell lengths 6.3707, 6.3707, 6.3707 Å; angles 90.00, 90.00, 90.00 degrees
Closest atoms and distances in Å follow each position.
Space group F-43m (No. 216)
Symmetry-distinct sites (fractional):
Nb: 0.0000 0.0000 0.0000  4 Hg 2.76, 4 Zn 2.76
Zn: 0.2500 0.2500 0.2500  4 Nb 2.76, 4 Ni 2.76
Ni: 0.0000 0.0000 0.5000  4 Hg 2.76, 4 Zn 2.76
Hg: 0.2500 0.2500 0.7500  4 Nb 2.76, 4 Ni 2.76

## Properties
Energy of formation from the pure elements (kcal/mol of atoms): 5.8
ΔE to the lowest computed polymorph (meV/atom): 47.1


[20]
Material: NbZnNiHg
Method: DFT, GGA-PBE
State: optimized geometry

Cell lengths 6.3728, 6.3728, 6.3728 Å; angles 90.00, 90.00, 90.00 degrees
Closest atoms and distances in Å follow each position.
Space group F-43m (No. 216)
Symmetry-distinct sites (fractional):
Nb: 0.0000 0.0000 0.0000  4 Ni 2.76, 4 Hg 2.76
Zn: 0.0000 0.0000 0.5000  4 Hg 2.76, 4 Ni 2.76
Ni: 0.2500 0.2500 0.7500  4 Nb 2.76, 4 Zn 2.76
Hg: 0.2500 0.2500 0.2500  4 Nb 2.76, 4 Zn 2.76

## Properties
Energy of formation from the pure elements (kcal/mol of atoms): 4.7
ΔE to the lowest computed polymorph (meV/atom): 0.0